Computed, not measured: CrTe2O2 after structural relaxation at the PBE+U level of DFT.

Results
As for the symmetry: No. 127. As for the energy above the most stable polymorph in this dataset: 0 meV per atom. The total magnetic moment is 8.04 Bohr magnetons per cell. As for the crystal system: tetragonal.

abc: 7.232 7.232 4.122
angles: 90.00 90.00 90.00
Fractional coordinates of all 10 atoms:
1 Te 0.356 0.856 0.000
2 Te 0.644 0.144 0.000
3 Cr 0.000 0.000 0.000
4 Te 0.856 0.644 0.000
5 O 0.352 0.852 0.500
6 O 0.852 0.648 0.500
7 O 0.648 0.148 0.500
8 O 0.148 0.352 0.500
9 Te 0.144 0.356 0.000
10 Cr 0.500 0.500 0.000